Entry 1:
Au2I3 | PBE | optimized geometry

The structure in POSCAR format:
```
Au2I3
1.0
3.698 2.135 6.818
-3.698 2.135 6.818
0.000 -4.271 6.818
Au I
4 6
Cartesian
0.000 0.000 3.249
0.000 0.000 6.977
0.000 0.000 13.476
0.000 0.000 17.204
-2.518 -0.090 8.522
-1.181 -2.225 11.931
1.337 -2.135 8.522
-1.337 2.135 11.931
1.181 2.225 8.522
2.518 0.090 11.931
```

Summary:
calculated total energy	-2.131	eV per atom
ΔE_f (raw)	0.1103	eV per atom
ΔE to the lowest computed polymorph	0.44	eV/f.u.



Entry 2:
Au2I3 | PBE | optimized geometry

The structure in POSCAR format:
```
Au2I3
1.0
5.294 -5.014 0.000
5.294 5.014 0.000
-5.283 0.000 9.011
Au I
4 6
Cartesian
2.653 4.748 4.506
6.738 2.242 0.002
4.097 -2.242 4.508
5.294 -4.748 0.000
4.335 2.614 0.941
-0.237 0.112 5.445
2.405 -0.112 0.939
3.380 1.249 7.528
1.693 -2.614 5.447
6.021 -1.249 3.023
```

Summary:
calculated total energy	-2.219	eV per atom
ΔE_f (raw)	0.0218	eV per atom
ΔE to the lowest computed polymorph	0.00	eV/f.u.



Entry 3:
Au3I5 | PBE | optimized geometry

The structure in POSCAR format:
```
Au3I5
1.0
5.264 0.000 0.000
0.668 7.358 0.000
1.468 1.186 8.432
Au I
3 5
Cartesian
0.000 0.000 0.000
0.734 0.593 4.216
2.966 3.679 0.000
2.573 6.925 6.301
2.172 5.607 1.571
3.700 4.272 4.216
5.228 2.937 6.861
4.827 1.619 2.131
```

Summary:
calculated total energy	-2.195	eV per atom
ΔE_f (raw)	0.0028	eV per atom



Entry 4:
In2Au2I | PBE | optimized geometry

The structure in POSCAR format:
```
In2Au2I
1.0
8.204 0.000 0.000
0.000 8.204 0.000
0.000 0.000 3.778
In Au I
4 4 2
Cartesian
1.429 2.673 0.000
2.673 6.775 0.000
5.531 1.429 0.000
6.775 5.531 0.000
0.991 5.093 1.889
3.111 0.991 1.889
5.093 7.213 1.889
7.213 3.111 1.889
0.000 0.000 1.889
4.102 4.102 1.889
```

Summary:
calculated total energy	-2.784	eV per atom
ΔE_f (raw)	-0.0678	eV per atom
ΔE to the lowest computed polymorph	0.22	eV/f.u.



Entry 5:
In2AuI | PBE | optimized geometry

The structure in POSCAR format:
```
In2AuI
1.0
6.794 0.000 0.000
0.000 6.794 0.000
0.000 0.000 14.335
In Au I
8 4 4
Cartesian
1.178 1.698 1.792
1.698 4.575 5.376
1.698 5.616 12.543
2.219 1.698 8.960
4.575 5.095 8.960
5.095 1.178 12.543
5.095 2.219 5.376
5.616 5.095 1.792
0.000 0.000 0.000
0.000 3.397 3.584
3.397 0.000 10.751
3.397 3.397 7.168
0.000 0.000 7.168
0.000 3.397 10.751
3.397 0.000 3.584
3.397 3.397 0.000
```

Summary:
calculated total energy	-2.717	eV per atom
ΔE_f (raw)	-0.1413	eV per atom
ΔE to the lowest computed polymorph	0.44	eV/f.u.



Entry 6:
InAu2I2 | PBE | optimized geometry

The structure in POSCAR format:
```
InAu2I2
1.0
6.016 0.000 0.000
0.000 6.016 0.000
0.000 0.000 8.337
In Au I
2 4 4
Cartesian
0.000 0.000 0.000
3.008 3.008 4.168
0.000 0.000 2.776
0.000 0.000 5.561
3.008 3.008 1.392
3.008 3.008 6.945
0.000 3.008 2.084
0.000 3.008 6.253
3.008 0.000 2.084
3.008 0.000 6.253
```

Summary:
calculated total energy	-2.394	eV per atom
ΔE_f (raw)	0.0852	eV per atom



Entry 7:
In2AuI | PBE | optimized geometry

The structure in POSCAR format:
```
In2AuI
1.0
4.224 0.000 0.000
-2.112 3.658 0.000
0.000 0.000 23.097
In Au I
6 3 3
Cartesian
0.000 0.000 5.359
0.000 0.000 17.739
0.000 2.439 10.040
0.000 2.439 20.757
2.112 1.219 2.341
2.112 1.219 13.058
0.000 0.000 11.549
0.000 2.439 3.850
2.112 1.219 19.248
0.000 0.000 0.000
0.000 2.439 15.398
2.112 1.219 7.699
```

Summary:
calculated total energy	-2.828	eV per atom
ΔE_f (raw)	-0.2522	eV per atom
ΔE to the lowest computed polymorph	0.00	eV/f.u.



Entry 8:
In3AuI | PBE | optimized geometry

The structure in POSCAR format:
```
In3AuI
1.0
5.484 0.000 0.000
0.000 5.484 0.000
0.000 0.000 5.484
In Au I
3 1 1
Cartesian
0.000 0.000 2.742
0.000 2.742 0.000
2.742 0.000 0.000
0.000 0.000 0.000
2.742 2.742 2.742
```

Summary:
calculated total energy	-2.796	eV per atom
ΔE_f (raw)	-0.1878	eV per atom
ΔE to the lowest computed polymorph	0.00	eV/f.u.



Entry 9:
In2AuI | PBE | optimized geometry

The structure in POSCAR format:
```
In2AuI
1.0
3.777 0.000 0.000
0.000 3.777 0.000
0.000 0.000 7.848
In Au I
2 1 1
Cartesian
0.000 0.000 1.616
0.000 0.000 6.232
1.888 1.888 0.000
1.888 1.888 3.924
```

Summary:
calculated total energy	-2.722	eV per atom
ΔE_f (raw)	-0.1455	eV per atom
ΔE to the lowest computed polymorph	0.43	eV/f.u.



Entry 10:
InAu2I6 | PBE | optimized geometry

The structure in POSCAR format:
```
InAu2I6
1.0
7.689 -8.477 0.000
7.689 8.477 0.000
-3.463 0.000 6.617
In Au I
2 4 12
Cartesian
5.091 7.462 4.963
6.823 -7.462 1.654
5.513 -0.001 0.907
3.781 0.001 4.216
8.133 -0.001 2.401
6.401 0.001 5.710
-0.491 0.974 4.615
3.391 5.074 5.028
1.240 -0.974 1.307
4.512 1.819 2.487
6.792 5.074 4.898
2.780 -1.819 5.796
9.134 1.819 0.822
5.122 -5.074 1.719
7.403 -1.819 4.131
10.674 0.974 5.311
8.523 -5.074 1.590
12.405 -0.974 2.002
```

Summary:
calculated total energy	-2.224	eV per atom
ΔE_f (raw)	-0.1580	eV per atom
ΔE to the lowest computed polymorph	0.46	eV/f.u.



Entry 11:
In2Au2I | PBE | optimized geometry

The structure in POSCAR format:
```
In2Au2I
1.0
5.061 0.000 0.000
0.000 5.061 0.000
0.000 0.000 10.986
In Au I
4 4 2
Cartesian
0.000 2.531 2.747
0.000 2.531 8.240
2.531 0.000 2.747
2.531 0.000 8.240
0.000 0.000 1.407
0.000 0.000 9.579
2.531 2.531 4.086
2.531 2.531 6.900
0.000 0.000 5.493
2.531 2.531 0.000
```

Summary:
calculated total energy	-2.828	eV per atom
ΔE_f (raw)	-0.1121	eV per atom
ΔE to the lowest computed polymorph	0.00	eV/f.u.



Entry 12:
In2AuI | PBE | optimized geometry

The structure in POSCAR format:
```
In2AuI
1.0
4.194 0.000 0.000
-2.097 3.633 0.000
0.000 0.000 23.763
In Au I
6 3 3
Cartesian
0.000 0.000 0.000
0.000 0.000 4.835
0.000 2.422 15.842
0.000 2.422 20.677
2.097 1.211 7.921
2.097 1.211 12.756
0.000 0.000 14.308
0.000 2.422 6.387
2.097 1.211 22.229
0.000 0.000 10.219
0.000 2.422 2.298
2.097 1.211 18.140
```

Summary:
calculated total energy	-2.793	eV per atom
ΔE_f (raw)	-0.2164	eV per atom
ΔE to the lowest computed polymorph	0.14	eV/f.u.